# CaMn4O6

CaMn4O6 after structural relaxation (PBE with a Hubbard U, Alexandria via LeMat-Bulk).

POSCAR file:
```
CaMn4O6
1.0
-0.194 -2.575 1.836
3.849 -0.673 -3.984
10.783 5.906 9.422
Ca O Mn
2 12 8
Direct
0.408 0.681 0.250
0.593 0.319 0.750
0.957 0.076 0.661
0.708 0.550 0.919
0.542 0.027 0.009
0.719 0.361 0.241
0.197 0.444 0.076
0.014 0.098 0.850
0.458 0.973 0.509
0.281 0.639 0.741
0.986 0.902 0.350
0.292 0.450 0.419
0.043 0.924 0.161
0.803 0.556 0.576
0.881 0.719 0.457
0.364 0.815 0.633
0.354 0.812 0.860
0.869 0.732 0.045
0.131 0.268 0.545
0.635 0.186 0.133
0.119 0.281 0.957
0.646 0.188 0.360
```

Calculated values
As for the calculated density: 4.62 g/cm³. The space group is P2_1. The raw total energy is -82.2 eV/f.u.